VASP calculation (PBE-GGA) on a geometry-optimized MgCuIrPb structure.

Values from the calculation:
Mass density: 11.69 Mg/m³
VASP energy: -4.373 eV per atom
E above lowest polymorph: 0.000 eV/atom
SG: F-43m, No. 216

abc: 4.608 4.608 4.608
angles: 60.00 60.00 60.00
Atoms (fractional coordinates):
Cu1 0.750 0.750 0.750
Ir1 0.250 0.250 0.250
Mg1 0.500 0.500 0.500
Pb1 0.000 0.000 0.000



VASP calculation (PBE-GGA) on a geometry-optimized TaAs structure.

Values from the calculation:
Mass density: 11.37 Mg/m³
VASP energy: -8.059 eV per atom
SG: P6_3mc, No. 186

abc: 3.038 3.038 9.352
angles: 90.00 90.00 120.00
Atoms (fractional coordinates):
As1 0.333 0.667 0.280
As2 0.667 0.333 0.780
Ta1 0.667 0.333 0.500
Ta2 0.333 0.667 0.000



VASP calculation (PBE-GGA) on a geometry-optimized DyAlPbSe3 structure.

Values from the calculation:
Mass density: 6.40 Mg/m³
VASP energy: -4.683 eV per atom
SG: Cmcm, No. 63

abc: 7.702 7.702 11.158
angles: 90.00 90.00 150.22
Atoms (fractional coordinates):
Al1 0.370 0.630 0.250
Al2 0.630 0.370 0.750
Dy1 0.000 0.000 0.000
Dy2 0.000 0.000 0.500
Pb1 0.705 0.295 0.250
Pb2 0.295 0.705 0.750
Se1 0.362 0.638 0.010
Se2 0.982 0.018 0.250
Se3 0.362 0.638 0.490
Se4 0.638 0.362 0.510
Se5 0.018 0.982 0.750
Se6 0.638 0.362 0.990



VASP calculation (PBE-GGA) on a geometry-optimized Co2Cu3 structure.

Values from the calculation:
Calculated formation energy: 0.53 eV per atom
Mass density: 8.88 Mg/m³
VASP energy: -4.538 eV per atom
SG: R-3m, No. 166

abc: 4.889 4.889 6.245
angles: 113.05 66.95 120.00
Atoms (fractional coordinates):
Co1 0.310 0.690 0.070
Co2 0.190 0.810 0.430
Co3 0.810 0.190 0.570
Co4 0.690 0.310 0.930
Cu1 0.250 0.249 0.250
Cu2 0.751 0.251 0.250
Cu3 0.749 0.750 0.250
Cu4 0.251 0.250 0.750
Cu5 0.249 0.749 0.750
Cu6 0.750 0.751 0.750